First-principles (PBE) data for a geometry-optimized TaFe3B structure, as listed in Alexandria via LeMat-Bulk.

a = 3.808 Å, b = 3.808 Å, c = 3.808 Å
α = 90.00°, β = 90.00°, γ = 90.00°
Atoms (fractional coordinates):
B: 0.000 0.000 0.000
Fe: 0.000 0.500 0.000
Fe: 0.000 0.000 0.500
Fe: 0.500 0.000 0.000
Ta: 0.500 0.500 0.500

Output
Excess energy over the best structure of this formula in the dataset, eV/atom: 0.0000
DOS(E_F), states/eV/cell: 2.61
Formation enthalpy at 0 K, eV per atom: -0.198


First-principles (PBE) data for a geometry-optimized TaFe8B4 structure, as listed in Alexandria via LeMat-Bulk.

a = 4.342 Å, b = 5.770 Å, c = 5.770 Å
α = 81.86°, β = 67.90°, γ = 67.90°
Atoms (fractional coordinates):
Ta: 0.000 0.000 0.000
Fe: 0.000 0.345 0.655
Fe: 0.000 0.655 0.345
Fe: 0.345 0.655 0.655
Fe: 0.655 0.345 0.345
Fe: 0.500 0.780 0.220
Fe: 0.500 0.220 0.780
Fe: 0.280 0.220 0.220
Fe: 0.720 0.780 0.780
B: 0.000 0.000 0.500
B: 0.500 0.000 0.500
B: 0.000 0.500 0.000
B: 0.500 0.500 0.000

Output
DOS(E_F), states/eV/cell: 11.45
Formation enthalpy at 0 K, eV per atom: -0.121


First-principles (PBE) data for a geometry-optimized TaFe2B structure, as listed in Alexandria via LeMat-Bulk.

a = 3.121 Å, b = 4.619 Å, c = 6.520 Å
α = 90.00°, β = 90.00°, γ = 109.74°
Atoms (fractional coordinates):
Ta: 0.945 0.889 0.250
Ta: 0.055 0.111 0.750
Fe: 0.351 0.702 0.556
Fe: 0.649 0.298 0.444
Fe: 0.351 0.702 0.944
Fe: 0.649 0.298 0.056
B: 0.768 0.536 0.750
B: 0.232 0.464 0.250

Output
DOS(E_F), states/eV/cell: 4.78
Formation enthalpy at 0 K, eV per atom: -0.451


First-principles (PBE) data for a geometry-optimized TaFeB2 structure, as listed in Alexandria via LeMat-Bulk.

a = 3.378 Å, b = 3.378 Å, c = 4.433 Å
α = 67.61°, β = 67.61°, γ = 60.00°
Atoms (fractional coordinates):
B: 0.289 0.289 0.132
B: 0.711 0.711 0.868
Fe: 0.000 0.000 0.000
Ta: 0.500 0.500 0.500

Output
DOS(E_F), states/eV/cell: 2.71
Formation enthalpy at 0 K, eV per atom: -0.395


First-principles (PBE) data for a geometry-optimized Ta3Fe5B2 structure, as listed in Alexandria via LeMat-Bulk.

a = 2.992 Å, b = 8.745 Å, c = 8.745 Å
α = 90.00°, β = 90.00°, γ = 90.00°
Atoms (fractional coordinates):
Ta: 0.000 0.325 0.825
Ta: 0.000 0.675 0.175
Ta: 0.000 0.175 0.325
Ta: 0.000 0.825 0.675
Ta: 0.000 0.000 0.000
Ta: 0.000 0.500 0.500
Fe: 0.500 0.222 0.071
Fe: 0.500 0.778 0.929
Fe: 0.500 0.929 0.222
Fe: 0.500 0.071 0.778
Fe: 0.500 0.278 0.571
Fe: 0.500 0.722 0.429
Fe: 0.500 0.571 0.722
Fe: 0.500 0.429 0.278
Fe: 0.500 0.000 0.500
Fe: 0.500 0.500 0.000
B: 0.000 0.119 0.619
B: 0.000 0.881 0.381
B: 0.000 0.381 0.119
B: 0.000 0.619 0.881

Output
DOS(E_F), states/eV/cell: 8.90
Formation enthalpy at 0 K, eV per atom: -0.438


First-principles (PBE) data for a geometry-optimized TaFeB2 structure, as listed in Alexandria via LeMat-Bulk.

a = 3.832 Å, b = 3.832 Å, c = 3.832 Å
α = 60.00°, β = 60.00°, γ = 60.00°
Atoms (fractional coordinates):
B: 0.250 0.250 0.250
B: 0.750 0.750 0.750
Fe: 0.000 0.000 0.000
Ta: 0.500 0.500 0.500

Output
DOS(E_F), states/eV/cell: 6.11
Formation enthalpy at 0 K, eV per atom: 0.204


Repeat the first record exactly.
First-principles (PBE) data for a geometry-optimized TaFe3B structure, as listed in Alexandria via LeMat-Bulk.

a = 3.808 Å, b = 3.808 Å, c = 3.808 Å
α = 90.00°, β = 90.00°, γ = 90.00°
Atoms (fractional coordinates):
B: 0.000 0.000 0.000
Fe: 0.000 0.500 0.000
Fe: 0.000 0.000 0.500
Fe: 0.500 0.000 0.000
Ta: 0.500 0.500 0.500

Output
Excess energy over the best structure of this formula in the dataset, eV/atom: 0.0000
DOS(E_F), states/eV/cell: 2.61
Formation enthalpy at 0 K, eV per atom: -0.198